# SrFe3P4O14

A relaxed structure of SrFe3P4O14 (GGA+U, Alexandria via LeMat-Bulk).

POSCAR file:
```
SrFe3P4O14
1.0
7.660 0.000 0.003
0.000 7.866 0.000
-3.674 0.000 8.979
P O Fe Sr
8 28 6 2
Direct
0.604 0.445 0.204 P
0.888 0.796 0.693 P
0.112 0.204 0.307 P
0.396 0.555 0.796 P
0.604 0.055 0.704 P
0.888 0.704 0.193 P
0.112 0.296 0.807 P
0.396 0.945 0.296 P
0.405 0.489 0.195 O
0.725 0.389 0.366 O
0.405 0.011 0.695 O
0.028 0.422 0.887 O
0.275 0.611 0.634 O
0.619 0.321 0.089 O
0.160 0.127 0.890 O
0.972 0.922 0.613 O
0.595 0.989 0.305 O
0.685 0.628 0.179 O
0.381 0.821 0.411 O
0.840 0.627 0.610 O
0.000 0.714 0.361 O
0.725 0.111 0.866 O
0.315 0.128 0.321 O
0.275 0.889 0.134 O
0.315 0.372 0.821 O
0.685 0.872 0.679 O
0.160 0.373 0.390 O
0.000 0.786 0.861 O
0.381 0.679 0.911 O
0.028 0.078 0.387 O
0.595 0.511 0.805 O
0.972 0.578 0.113 O
0.840 0.873 0.110 O
0.000 0.214 0.139 O
0.619 0.179 0.589 O
0.000 0.286 0.639 O
0.811 0.123 0.472 Fe
0.189 0.877 0.528 Fe
0.189 0.623 0.028 Fe
0.000 0.000 0.000 Fe
0.000 0.500 0.500 Fe
0.811 0.377 0.972 Fe
0.500 0.000 0.000 Sr
0.500 0.500 0.500 Sr
```

## Properties
**SG**: P2_1/c
**Calculated total energy**: -7.214 eV per atom